# LaTcTeI2, relaxed, DFT PBE
# Formation energy without anion corrections (eV per formula unit): 1.22
# Offset from the most stable computed form (eV per formula unit): 1.83
# M_tot (Bohr magnetons per cell): 5.6
# Calculated total energy (eV per atom): -4.06
# Density of states at the Fermi level (states/eV/cell): 3.8
data_LaTcTeI2
_chemical_formula_sum 'La1 Tc1 Te1 I2'
_symmetry_space_group_name_H-M 'P 4/m m m'
_symmetry_Int_Tables_number 123
_symmetry_space_group_name_Hall '-P 4 2'
_cell_length_a 6.241
_cell_length_b 6.241
_cell_length_c 6.227
_cell_angle_alpha 90.00
_cell_angle_beta 90.00
_cell_angle_gamma 90.00
loop_
_atom_site_label
_atom_site_fract_x
_atom_site_fract_y
_atom_site_fract_z
_atom_site_occupancy
La1 0.000 0.000 0.000 1
Tc1 0.500 0.500 0.500 1
Te1 0.000 0.000 0.500 1
I1 0.000 0.500 0.000 1